VASP calculation (PBE) on an optimized crystal structure of YZr2Cr.

Properties
total DFT energy (no corrections): -31.98 eV per cell
size of the total moment: 2.289 μB/f.u.
ΔH_f (0 K): 0.300 eV per atom
V: 22.750 Å³/atom

abc: 3.263 4.781 6.022
angles: 90.00 104.38 90.00
Atoms (fractional coordinates):
1 Y 0.000 0.000 0.000
2 Zr 0.324 0.500 0.719
3 Zr 0.676 0.500 0.281
4 Cr 0.500 0.000 0.500